Entry 1:
VASP calculation (PBE-GGA) on Hg2C after structural relaxation.

```
data_Hg2C
_space_group_name_H-M_alt 'C 1 2/m 1'
_space_group_IT_number 12
_space_group_name_Hall '-C 2y'
_cell_length_a 10.9775
_cell_length_b 3.4273
_cell_length_c 8.3742
_cell_angle_alpha 90.00
_cell_angle_beta 130.70
_cell_angle_gamma 90.00
loop_
_atom_site_label
_atom_site_fract_x
_atom_site_fract_y
_atom_site_fract_z
Hg1 0.0651 0.0000 0.3377
Hg2 0.2502 0.0000 0.1477
C1 0.2280 0.5000 0.3089
```

The calculation puts the energy of formation at 1.56 eV/atom. The calculation puts the calculated total energy at -20.56 eV per cell. The density of states at the Fermi level is 4.17 states/eV per cell. As for the spin magnetization: 0.0 μB per formula unit.

---

Entry 2:
VASP calculation (PBE-GGA) on NaSmEr4Se8 after structural relaxation.

```
data_NaSmEr4Se8
_space_group_name_H-M_alt 'R 3 m'
_space_group_IT_number 160
_space_group_name_Hall 'R 3 -2"'
_cell_length_a 8.3999
_cell_length_b 8.3999
_cell_length_c 20.8621
_cell_angle_alpha 90.00
_cell_angle_beta 90.00
_cell_angle_gamma 120.00
loop_
_atom_site_label
_atom_site_fract_x
_atom_site_fract_y
_atom_site_fract_z
Na1 0.0000 0.0000 0.0000
Sm1 0.0000 0.0000 0.6318
Er1 0.0000 0.0000 0.2529
Er2 0.1733 0.3466 0.4587
Se1 0.0000 0.0000 0.3853
Se2 0.0000 0.0000 0.8663
Se3 0.0227 0.5114 0.3828
Se4 0.1751 0.3502 0.2056
```

The calculation puts the calculated total energy at -230.36 eV per cell. The density of states at the Fermi level is 0.00 states/eV per cell. As for the spin magnetization: 0.0 μB per formula unit. As for the uncorrected formation energy: -1.759 eV/atom.

---

Entry 3:
VASP calculation (PBE-GGA) on Ni2MoOs after structural relaxation.

```
data_Ni2MoOs
_space_group_name_H-M_alt 'P 4/m m m'
_space_group_IT_number 123
_space_group_name_Hall '-P 4 2'
_cell_length_a 3.6800
_cell_length_b 3.6800
_cell_length_c 3.8320
_cell_angle_alpha 90.00
_cell_angle_beta 90.00
_cell_angle_gamma 90.00
loop_
_atom_site_label
_atom_site_fract_x
_atom_site_fract_y
_atom_site_fract_z
Ni1 0.0000 0.5000 0.0000
Mo1 0.0000 0.0000 0.5000
Os1 0.5000 0.5000 0.5000
```

The calculation puts the energy of formation at 0.02 eV/atom. The calculation puts the calculated total energy at -33.55 eV per cell. The density of states at the Fermi level is 3.56 states/eV per cell. As for the spin magnetization: 0.0 μB per formula unit.

---

Entry 4:
VASP calculation (PBE-GGA) on Re12Os3W5 after structural relaxation.

```
data_Re12Os3W5
_space_group_name_H-M_alt 'I a -3 d'
_space_group_IT_number 230
_space_group_name_Hall '-I 4bd 2c 3'
_cell_length_a 14.7247
_cell_length_b 14.7247
_cell_length_c 14.7247
_cell_angle_alpha 90.00
_cell_angle_beta 90.00
_cell_angle_gamma 90.00
loop_
_atom_site_label
_atom_site_fract_x
_atom_site_fract_y
_atom_site_fract_z
Re1 0.0074 0.0776 0.6548
Os1 0.0000 0.2500 0.1250
W1 0.0000 0.0000 0.0000
W2 0.0000 0.2500 0.3750
```

The calculation puts the energy of formation at 1.38 eV/atom. The calculation puts the calculated total energy at -1761.80 eV per cell. The density of states at the Fermi level is 152.41 states/eV per cell. As for the spin magnetization: 0.0 μB per formula unit.

---

Entry 5:
VASP calculation (PBE-GGA) on TiInB2Pd after structural relaxation.

```
data_TiInB2Pd
_space_group_name_H-M_alt 'P 4/m m m'
_space_group_IT_number 123
_space_group_name_Hall '-P 4 2'
_cell_length_a 4.2405
_cell_length_b 4.2405
_cell_length_c 4.8799
_cell_angle_alpha 90.00
_cell_angle_beta 90.00
_cell_angle_gamma 90.00
loop_
_atom_site_label
_atom_site_fract_x
_atom_site_fract_y
_atom_site_fract_z
Ti1 0.0000 0.0000 0.0000
In1 0.5000 0.5000 0.5000
B1 0.0000 0.5000 0.0000
Pd1 0.0000 0.0000 0.5000
```

The calculation puts the energy of formation at 1.10 eV/atom. The calculation puts the calculated total energy at -23.68 eV per cell. The density of states at the Fermi level is 5.01 states/eV per cell. As for the spin magnetization: 0.0 μB per formula unit.

---

Entry 6:
VASP calculation (PBE-GGA) on MnPb7 after structural relaxation.

```
data_MnPb7
_space_group_name_H-M_alt 'F m -3 m'
_space_group_IT_number 225
_space_group_name_Hall '-F 4 2 3'
_cell_length_a 9.8295
_cell_length_b 9.8295
_cell_length_c 9.8295
_cell_angle_alpha 90.00
_cell_angle_beta 90.00
_cell_angle_gamma 90.00
loop_
_atom_site_label
_atom_site_fract_x
_atom_site_fract_y
_atom_site_fract_z
Mn1 0.0000 0.0000 0.0000
Pb1 0.0000 0.0000 0.5000
Pb2 0.0000 0.2500 0.2500
```

The calculation puts the energy of formation at 0.21 eV/atom. The calculation puts the calculated total energy at -133.94 eV per cell. The density of states at the Fermi level is 30.88 states/eV per cell. As for the spin magnetization: 4.2 μB per formula unit.

---

Entry 7:
VASP calculation (PBE-GGA) on Na5InBi3 after structural relaxation.

```
data_Na5InBi3
_space_group_name_H-M_alt 'C 1 2/c 1'
_space_group_IT_number 15
_space_group_name_Hall '-C 2yc'
_cell_length_a 16.7334
_cell_length_b 7.4234
_cell_length_c 10.5801
_cell_angle_alpha 90.00
_cell_angle_beta 108.80
_cell_angle_gamma 90.00
loop_
_atom_site_label
_atom_site_fract_x
_atom_site_fract_y
_atom_site_fract_z
Na1 0.0000 0.2475 0.2500
Na2 0.1651 0.2454 0.0889
Na3 0.1649 0.2526 0.5723
In1 0.0000 0.2453 0.7500
Bi1 0.0000 0.5000 0.0000
Bi2 0.1597 0.0278 0.8265
```

The calculation puts the energy of formation at -0.22 eV/atom. The calculation puts the calculated total energy at -91.94 eV per cell. The density of states at the Fermi level is 30.05 states/eV per cell. As for the spin magnetization: 0.0 μB per formula unit.

---

Entry 8:
VASP calculation (PBE-GGA) on Pu6GaGe5 after structural relaxation.

```
data_Pu6GaGe5
_space_group_name_H-M_alt 'P -1'
_space_group_IT_number 2
_space_group_name_Hall '-P 1'
_cell_length_a 5.4799
_cell_length_b 5.8214
_cell_length_c 9.1409
_cell_angle_alpha 71.44
_cell_angle_beta 72.69
_cell_angle_gamma 89.99
loop_
_atom_site_label
_atom_site_fract_x
_atom_site_fract_y
_atom_site_fract_z
Pu1 0.0005 0.2464 0.4991
Pu2 0.3310 0.0789 0.8386
Pu3 0.3305 0.5820 0.8395
Ga1 0.5000 0.5000 0.5000
Ge1 0.1642 0.6658 0.1711
Ge2 0.1664 0.1651 0.1667
Ge3 0.5000 0.0000 0.5000
```

The calculation puts the energy of formation at -0.40 eV/atom. The calculation puts the calculated total energy at -116.91 eV per cell. The density of states at the Fermi level is 43.38 states/eV per cell. As for the spin magnetization: 10.8 μB per formula unit.

---

Entry 9:
VASP calculation (PBE-GGA) on CaTaAsBr2 after structural relaxation.

```
data_CaTaAsBr2
_space_group_name_H-M_alt 'P 4/m m m'
_space_group_IT_number 123
_space_group_name_Hall '-P 4 2'
_cell_length_a 5.1381
_cell_length_b 5.1381
_cell_length_c 5.1602
_cell_angle_alpha 90.00
_cell_angle_beta 90.00
_cell_angle_gamma 90.00
loop_
_atom_site_label
_atom_site_fract_x
_atom_site_fract_y
_atom_site_fract_z
Ca1 0.0000 0.0000 0.0000
Ta1 0.5000 0.5000 0.5000
As1 0.5000 0.5000 0.0000
Br1 0.0000 0.5000 0.5000
```

The calculation puts the calculated total energy at -23.56 eV per cell. The density of states at the Fermi level is 3.20 states/eV per cell. As for the spin magnetization: 0.0 μB per formula unit. As for the uncorrected formation energy: -0.342 eV/atom.

---

Entry 10:
VASP calculation (PBE-GGA) on TlInW2 after structural relaxation.

```
data_TlInW2
_space_group_name_H-M_alt 'R 3 m'
_space_group_IT_number 160
_space_group_name_Hall 'R 3 -2"'
_cell_length_a 3.2146
_cell_length_b 3.2146
_cell_length_c 28.4979
_cell_angle_alpha 90.00
_cell_angle_beta 90.00
_cell_angle_gamma 120.00
loop_
_atom_site_label
_atom_site_fract_x
_atom_site_fract_y
_atom_site_fract_z
Tl1 0.0000 0.0000 0.0000
In1 0.0000 0.0000 0.2386
W1 0.0000 0.0000 0.4850
W2 0.0000 0.0000 0.7581
```

The calculation puts the energy of formation at 0.53 eV/atom. The calculation puts the calculated total energy at -86.68 eV per cell. The density of states at the Fermi level is 3.09 states/eV per cell. As for the spin magnetization: 0.0 μB per formula unit.

---

Entry 11:
VASP calculation (PBE-GGA) on Rb5Ba3H12 after structural relaxation.

```
data_Rb5Ba3H12
_space_group_name_H-M_alt 'I a -3 d'
_space_group_IT_number 230
_space_group_name_Hall '-I 4bd 2c 3'
_cell_length_a 15.8356
_cell_length_b 15.8356
_cell_length_c 15.8356
_cell_angle_alpha 90.00
_cell_angle_beta 90.00
_cell_angle_gamma 90.00
loop_
_atom_site_label
_atom_site_fract_x
_atom_site_fract_y
_atom_site_fract_z
Rb1 0.0000 0.0000 0.0000
Rb2 0.0000 0.2500 0.3750
Ba1 0.0000 0.2500 0.1250
H1 0.0117 0.0809 0.6590
```

The calculation puts the calculated total energy at -424.55 eV per cell. The density of states at the Fermi level is 75.47 states/eV per cell. As for the spin magnetization: 0.9 μB per formula unit.

---

Entry 12:
VASP calculation (PBE-GGA) on Pm4SiAg after structural relaxation.

```
data_Pm4SiAg
_space_group_name_H-M_alt 'P 4/m m m'
_space_group_IT_number 123
_space_group_name_Hall '-P 4 2'
_cell_length_a 4.9952
_cell_length_b 4.9952
_cell_length_c 7.3664
_cell_angle_alpha 90.00
_cell_angle_beta 90.00
_cell_angle_gamma 90.00
loop_
_atom_site_label
_atom_site_fract_x
_atom_site_fract_y
_atom_site_fract_z
Pm1 0.0000 0.5000 0.2391
Si1 0.0000 0.0000 0.0000
Ag1 0.5000 0.5000 0.5000
```

The calculation puts the calculated total energy at -28.23 eV per cell. The density of states at the Fermi level is 9.06 states/eV per cell. As for the spin magnetization: 0.0 μB per formula unit. As for the uncorrected formation energy: -0.158 eV/atom.